No. 1
KCa2PbCl8: optimized geometry, PBE-GGA.

Unit cell a=6.4534 b=8.6699 c=6.6747 alpha=90.00 beta=90.38 gamma=90.00
Closest atoms and distances in Å follow each position.
Element x y z (fractional)
K: 0.0000 0.0000 0.0000  6 Cl 3.02-3.07
Ca: 0.5000 0.2461 0.5000  6 Cl 2.72-2.87
Ca: 0.5000 0.7539 0.5000  6 Cl 2.72-2.87
Pb: 0.0000 0.5000 0.0000  6 Cl 2.73-2.86
Cl: 0.2437 0.2756 0.1669  1 Pb 2.73, 1 Ca 2.77
Cl: 0.2437 0.7244 0.1669  1 Pb 2.73, 1 Ca 2.77
Cl: 0.2695 0.5000 0.6624  1 Pb 2.86, 2 Ca 2.87
Cl: 0.2842 0.0000 0.6421  2 Ca 2.72, 1 K 3.02
Cl: 0.7158 0.0000 0.3579  2 Ca 2.72, 1 K 3.02
Cl: 0.7305 0.5000 0.3376  1 Pb 2.86, 2 Ca 2.87
Cl: 0.7563 0.2756 0.8331  1 Pb 2.73, 1 Ca 2.77
Cl: 0.7563 0.7244 0.8331  1 Pb 2.73, 1 Ca 2.77

Values from the calculation:
- SG: No. 10
- Raw total energy: -3.721 eV per atom
- Energy relative to the elements, uncorrected: -1.756 eV per atom

No. 2
Pr5Y3Hg2: optimized geometry, PBE-GGA.

Unit cell a=10.6930 b=10.6930 c=10.6930 alpha=113.11 beta=79.63 gamma=141.95
Closest atoms and distances in Å follow each position.
Element x y z (fractional)
Pr: 0.0555 0.2500 0.8055  2 Hg 3.10, 1 Pr 3.20
Pr: 0.0607 0.2301 0.2908  1 Hg 3.03, 2 Pr 3.37
Pr: 0.2500 0.2500 0.0000  8 Pr 3.20-3.49
Pr: 0.4393 0.7301 0.1694  1 Hg 3.03, 2 Pr 3.37
Pr: 0.4445 0.2500 0.1945  2 Hg 3.10, 1 Pr 3.20
Pr: 0.5555 0.7500 0.8055  2 Hg 3.10, 1 Pr 3.20
Pr: 0.5607 0.2699 0.8306  1 Hg 3.03, 2 Pr 3.37
Pr: 0.7500 0.7500 0.0000  8 Pr 3.20-3.49
Pr: 0.9393 0.7699 0.7092  1 Hg 3.03, 2 Pr 3.37
Pr: 0.9445 0.7500 0.1945  2 Hg 3.10, 1 Pr 3.20
Y: 0.1751 0.7229 0.8980  1 Hg 3.20
Y: 0.2500 0.7500 0.5000  4 Hg 3.11
Y: 0.3249 0.2229 0.5479  1 Hg 3.20
Y: 0.6751 0.7771 0.4521  1 Hg 3.20
Y: 0.7500 0.2500 0.5000  4 Hg 3.11
Y: 0.8249 0.2771 0.1020  1 Hg 3.20
Hg: 0.1533 0.4529 0.6062  3 Pr 3.03-3.10, 3 Y 3.11-3.20
Hg: 0.3467 0.9529 0.2996  3 Pr 3.03-3.10, 3 Y 3.11-3.20
Hg: 0.6533 0.0471 0.7004  3 Pr 3.03-3.10, 3 Y 3.11-3.20
Hg: 0.8467 0.5471 0.3938  3 Pr 3.03-3.10, 3 Y 3.11-3.20

Values from the calculation:
- SG: No. 72
- Raw total energy: -4.352 eV per atom

No. 3
Ho2CCl: optimized geometry, PBE-GGA.

Unit cell a=3.6107 b=3.6107 c=20.5427 alpha=90.00 beta=90.00 gamma=120.00
Closest atoms and distances in Å follow each position.
Element x y z (fractional)
Ho: 0.0000 0.0000 0.0000  3 C 2.43
Ho: 0.0000 0.0000 0.2089  3 C 2.47
Ho: 0.3333 0.6667 0.6667  3 C 2.43
Ho: 0.3333 0.6667 0.8756  3 C 2.47
Ho: 0.6667 0.3333 0.3333  3 C 2.43
Ho: 0.6667 0.3333 0.5422  3 C 2.47
C: 0.0000 0.0000 0.6063  6 Ho 2.43-2.47
C: 0.3333 0.6667 0.2730  6 Ho 2.43-2.47
C: 0.6667 0.3333 0.9397  6 Ho 2.43-2.47
Cl: 0.0000 0.0000 0.4366  6 Ho 2.97-3.01
Cl: 0.3333 0.6667 0.1032  6 Ho 2.97-3.01
Cl: 0.6667 0.3333 0.7699  6 Ho 2.97-3.01

Values from the calculation:
- SG: No. 160
- Raw total energy: -6.144 eV per atom
- Energy relative to the elements, uncorrected: -1.087 eV per atom